Compound: Tl2ZnPbBr
Source: Alexandria
Functional: PBE-GGA
Structure: optimized geometry

As for the relative energy among the computed polymorphs: 0 meV per atom. The value obtained for the calculated volume is 37.00 Å³/atom. The density of states at the Fermi level comes out at 0.697 states/eV per atom. The uncorrected energy comes out at -2.01 eV/atom. Its spin magnetization is 0.00 μB per cell.

Lattice parameters (Å, degrees): 6.1461 6.1461 4.8979 90.00 90.00 90.00
Space group P4/mmm (No. 123)
Asymmetric unit:
Tl: 0.0000 0.5000 0.0000
Zn: 0.0000 0.0000 0.5000
Pb: 0.5000 0.5000 0.5000
Br: 0.0000 0.0000 0.0000

---

Compound: TmPbBr5
Source: Alexandria
Functional: PBE-GGA
Structure: optimized geometry

The value obtained for the calculated volume is 39.75 Å³/atom. The density of states at the Fermi level comes out at 0.000 states/eV per atom. The uncorrected energy comes out at -3.76 eV/atom. Its spin magnetization is 0.00 μB per cell.

Lattice parameters (Å, degrees): 10.7374 10.6443 10.8979 90.00 116.68 90.00
Space group C2/c (No. 15)
Asymmetric unit:
Tm: 0.2500 0.2500 0.0000
Pb: 0.0000 0.0791 0.2500
Br: 0.0000 0.2338 0.7500
Br: 0.0975 0.2878 0.1434
Br: 0.2352 0.0053 0.5253

---

Compound: UPb2Br8
Source: Alexandria
Functional: PBE-GGA
Structure: optimized geometry

The value obtained for the calculated volume is 43.88 Å³/atom. The density of states at the Fermi level comes out at 0.404 states/eV per atom. The uncorrected energy comes out at -3.94 eV/atom. Its spin magnetization is 4.00 μB per cell.

Lattice parameters (Å, degrees): 14.8401 7.2194 9.1363 90.00 99.51 90.00
Space group C2/m (No. 12)
Asymmetric unit:
U: 0.0000 0.0000 0.0000
Pb: 0.1481 0.0000 0.4101
Br: 0.0856 0.0000 0.7531
Br: 0.1253 0.2543 0.1490
Br: 0.1644 0.5000 0.5449

---

Compound: V2PbBr
Source: Alexandria
Functional: PBE-GGA
Structure: optimized geometry

As for the relative energy among the computed polymorphs: 41 meV per atom. The value obtained for the calculated volume is 18.34 Å³/atom. The density of states at the Fermi level comes out at 1.884 states/eV per atom. The uncorrected energy comes out at -5.17 eV/atom. Its spin magnetization is 5.42 μB per cell.

Lattice parameters (Å, degrees): 6.6451 6.6451 6.6451 90.00 90.00 90.00
Space group Fm-3m (No. 225)
Asymmetric unit:
V: 0.2500 0.2500 0.2500
Pb: 0.0000 0.0000 0.0000
Br: 0.0000 0.0000 0.5000

---

Compound: V2PbBr
Source: Alexandria
Functional: PBE-GGA
Structure: optimized geometry

As for the relative energy among the computed polymorphs: 0 meV per atom. The value obtained for the calculated volume is 22.23 Å³/atom. The density of states at the Fermi level comes out at 0.968 states/eV per atom. The uncorrected energy comes out at -5.21 eV/atom. Its spin magnetization is 21.70 μB per cell.

Lattice parameters (Å, degrees): 7.2857 7.2857 6.6995 90.00 90.00 90.00
Space group I-42d (No. 122)
Asymmetric unit:
V: 0.2042 0.2500 0.1250
Pb: 0.0000 0.0000 0.5000
Br: 0.0000 0.0000 0.0000

---

Compound: VPb2Br
Source: Alexandria
Functional: PBE-GGA
Structure: optimized geometry

As for the relative energy among the computed polymorphs: 0 meV per atom. The value obtained for the calculated volume is 28.50 Å³/atom. The density of states at the Fermi level comes out at 1.309 states/eV per atom. The uncorrected energy comes out at -4.08 eV/atom. Its spin magnetization is 13.98 μB per cell.

Lattice parameters (Å, degrees): 4.3633 4.3633 23.9493 90.00 90.00 90.00
Space group I-42d (No. 122)
Asymmetric unit:
V: 0.0000 0.0000 0.0000
Pb: 0.2430 0.2500 0.1250
Br: 0.0000 0.0000 0.5000

---

Compound: V3PbBr
Source: Alexandria
Functional: PBE-GGA
Structure: optimized geometry

As for the relative energy among the computed polymorphs: 508 meV per atom. The value obtained for the calculated volume is 29.81 Å³/atom. The density of states at the Fermi level comes out at 3.194 states/eV per atom. The uncorrected energy comes out at -5.09 eV/atom. Its spin magnetization is 9.99 μB per cell.

Lattice parameters (Å, degrees): 5.3019 5.3019 5.3019 90.00 90.00 90.00
Space group Pm-3m (No. 221)
Asymmetric unit:
V: 0.0000 0.0000 0.5000
Pb: 0.0000 0.0000 0.0000
Br: 0.5000 0.5000 0.5000

---

Compound: VPbBr2
Source: Alexandria
Functional: PBE-GGA
Structure: optimized geometry

As for the relative energy among the computed polymorphs: 241 meV per atom. The value obtained for the calculated volume is 29.24 Å³/atom. The density of states at the Fermi level comes out at 0.296 states/eV per atom. The uncorrected energy comes out at -4.21 eV/atom. Its spin magnetization is 11.89 μB per cell.

Lattice parameters (Å, degrees): 9.0376 9.0376 5.7273 90.00 90.00 90.00
Space group I-42d (No. 122)
Asymmetric unit:
V: 0.0000 0.0000 0.0000
Pb: 0.0000 0.0000 0.5000
Br: 0.1219 0.2500 0.1250

---

Compound: VPb2Br6
Source: Alexandria
Functional: PBE-GGA
Structure: optimized geometry

The value obtained for the calculated volume is 34.46 Å³/atom. The uncorrected energy comes out at -3.81 eV/atom. Its spin magnetization is 9.00 μB per cell.

Lattice parameters (Å, degrees): 7.5678 7.5678 18.7586 90.00 90.00 120.00
Space group R-3 (No. 148, hexagonal axes)
Asymmetric unit:
V: 0.0000 0.0000 0.0000
Pb: 0.0000 0.0000 0.1956
Br: 0.0312 0.4096 0.7494

---

Compound: VPbBr2
Source: Alexandria
Functional: PBE-GGA
Structure: optimized geometry

As for the relative energy among the computed polymorphs: 609 meV per atom. The value obtained for the calculated volume is 25.68 Å³/atom. The density of states at the Fermi level comes out at 1.681 states/eV per atom. The uncorrected energy comes out at -3.84 eV/atom. Its spin magnetization is 16.48 μB per cell.

Lattice parameters (Å, degrees): 7.4343 7.4343 7.4343 90.00 90.00 90.00
Space group Fm-3m (No. 225)
Asymmetric unit:
V: 0.0000 0.0000 0.0000
Pb: 0.0000 0.0000 0.5000
Br: 0.2500 0.2500 0.2500

---

Compound: VPb3Br8
Source: Alexandria
Functional: PBE-GGA
Structure: optimized geometry

The value obtained for the calculated volume is 37.09 Å³/atom. The uncorrected energy comes out at -3.67 eV/atom. Its spin magnetization is 6.00 μB per cell.

Lattice parameters (Å, degrees): 14.5974 8.6508 8.5044 90.00 124.02 90.00
Space group C2/m (No. 12)
Asymmetric unit:
V: 0.0000 0.0000 0.0000
Pb: 0.0000 0.5000 0.0000
Pb: 0.2500 0.2500 0.5000
Br: 0.0023 0.2198 0.7791
Br: 0.2221 0.0000 0.2186
Br: 0.2485 0.0000 0.7501

---

Compound: VPbBr2
Source: Alexandria
Functional: PBE-GGA
Structure: optimized geometry

As for the relative energy among the computed polymorphs: 0 meV per atom. The value obtained for the calculated volume is 31.72 Å³/atom. The density of states at the Fermi level comes out at 0.372 states/eV per atom. The uncorrected energy comes out at -4.45 eV/atom. Its spin magnetization is 8.88 μB per cell.

Lattice parameters (Å, degrees): 3.6502 3.6502 32.9877 90.00 90.00 120.00
Space group R-3m (No. 166, hexagonal axes)
Asymmetric unit:
V: 0.0000 0.0000 0.0000
Pb: 0.0000 0.0000 0.5000
Br: 0.0000 0.0000 0.3800

---

Compound: VPb2Br
Source: Alexandria
Functional: PBE-GGA
Structure: optimized geometry

As for the relative energy among the computed polymorphs: 86 meV per atom. The value obtained for the calculated volume is 26.85 Å³/atom. The density of states at the Fermi level comes out at 2.133 states/eV per atom. The uncorrected energy comes out at -4.00 eV/atom. Its spin magnetization is 14.19 μB per cell.

Lattice parameters (Å, degrees): 7.5459 7.5459 7.5459 90.00 90.00 90.00
Space group Fm-3m (No. 225)
Asymmetric unit:
V: 0.0000 0.0000 0.0000
Pb: 0.2500 0.2500 0.2500
Br: 0.0000 0.0000 0.5000

---

Compound: V2PbBr6
Source: Alexandria
Functional: PBE-GGA
Structure: optimized geometry

The value obtained for the calculated volume is 29.57 Å³/atom. The uncorrected energy comes out at -4.36 eV/atom. Its spin magnetization is 6.00 μB per cell.

Lattice parameters (Å, degrees): 6.8485 6.8485 6.5519 90.00 90.00 120.00
Space group P-31m (No. 162)
Asymmetric unit:
V: 0.3333 0.6667 0.0000
Pb: 0.0000 0.0000 0.5000
Br: 0.0000 0.3688 0.2274